# 1
VASP calculation (PBE-GGA) on a relaxed structure of LaTh2.

abc: 6.710 6.710 6.710
angles: 60.00 60.00 60.00
Fractional positions:
Th: 0.125 0.625 0.625
Th: 0.625 0.125 0.625
Th: 0.625 0.625 0.625
Th: 0.625 0.625 0.125
La: 0.000 0.000 0.000
La: 0.250 0.250 0.250

Summary:
Mass density ... 9.37 g/cm3
ΔE_f ... 223 meV/atom
Calculated volume ... 35.611 Å³/atom
Magnetic moment ... 0.00 μB/atom
Space group ... Fd-3m (227)
Excess energy over the best structure of this formula in the dataset ... 178 meV per atom

***

# 2
VASP calculation (PBE-GGA) on a relaxed structure of Sm6Sb3P2Se.

abc: 4.282 8.644 9.629
angles: 103.40 102.85 90.00
Fractional positions:
Sm: 0.333 0.899 0.666
Sm: 0.672 0.570 0.344
Sm: 0.667 0.101 0.334
Sm: 0.007 0.249 0.015
Sm: 0.993 0.751 0.985
Sm: 0.328 0.430 0.656
Sb: 0.500 0.500 0.000
Sb: 0.836 0.167 0.672
Sb: 0.164 0.833 0.328
P: 0.833 0.667 0.666
P: 0.167 0.333 0.334
Se: 0.500 0.000 0.000

Summary:
Mass density ... 6.93 g/cm3
Calculated volume ... 28.125 Å³/atom
Magnetic moment ... 0.00 μB/atom
Space group ... C2/m (12)
ΔE_f (raw) ... -1.418 eV/atom

***

# 3
VASP calculation (PBE-GGA) on a relaxed structure of Sm6CoRu2I3.

abc: 7.048 7.048 8.434
angles: 98.02 98.02 120.02
Fractional positions:
Sm: 0.938 0.610 0.815
Sm: 0.733 0.733 0.184
Sm: 0.062 0.390 0.185
Sm: 0.610 0.938 0.815
Sm: 0.267 0.267 0.816
Sm: 0.390 0.062 0.185
Co: 0.000 0.000 0.000
Ru: 0.333 0.667 0.000
Ru: 0.667 0.333 0.000
I: 0.168 0.832 0.500
I: 0.832 0.168 0.500
I: 0.500 0.500 0.500

Summary:
Mass density ... 7.36 g/cm3
Calculated volume ... 29.031 Å³/atom
Magnetic moment ... 0.00 μB/atom
Space group ... C2/m (12)
ΔE_f (raw) ... -0.607 eV/atom